[1]
Li2InReSi | GGA-PBE | optimized geometry

Cell lengths 4.4595, 5.1014, 4.4595 Å; angles 90.00, 90.00, 90.00 degrees
Each line ends with the local moment (μB).
Atoms (fractional coordinates):
1 Re 0.0000 0.5000 0.0000  1.49
2 Si 0.5000 0.5000 0.5000  -0.01
3 Li 0.0000 0.0000 0.5000  -0.02
4 Li 0.5000 0.0000 0.0000  -0.01
5 In 0.0000 0.0000 0.0000  -0.05

Computed properties:
The value obtained for the uncorrected formation energy is 1.25 eV per atom. As for the density of states at the Fermi level: 0.727 states/eV/atom. Its space group is No. 123. The crystal system is tetragonal.

---

[2]
Ho2Er3Pd2 | GGA-PBE | optimized geometry

Cell lengths 3.6819, 6.4141, 9.0172 Å; angles 115.63, 90.00, 106.68 degrees
Atoms (fractional coordinates):
1 Ho 0.8426 0.6851 0.1868
2 Ho 0.1574 0.3149 0.8132
3 Er 0.5000 0.0000 0.0000
4 Er 0.6131 0.2262 0.4397
5 Er 0.3869 0.7738 0.5603
6 Pd 0.8289 0.6579 0.7639
7 Pd 0.1711 0.3421 0.2361

Computed properties:
The value obtained for the excess energy over the best structure of this formula in the dataset is 0.0 meV per atom. As for the density of states at the Fermi level: 1.183 states/eV/atom. Its space group is No. 12. The crystal system is monoclinic.

---

[3]
CePuPaTc | GGA-PBE | optimized geometry

Cell lengths 4.9782, 4.9782, 4.9782 Å; angles 60.00, 60.00, 60.00 degrees
Each line ends with the local moment (μB).
Atoms (fractional coordinates):
1 Pa 0.5000 0.5000 0.5000  0.86
2 Tc 0.7500 0.7500 0.7500  -0.05
3 Ce 0.0000 0.0000 0.0000  0.71
4 Pu 0.2500 0.2500 0.2500  5.36

Computed properties:
The calculation puts the raw total energy at -39.9 eV per cell. As for the density of states at the Fermi level: 2.381 states/eV/atom. Its space group is No. 216. The crystal system is cubic.

---

[4]
KCrPb2 | GGA-PBE | optimized geometry

Cell lengths 5.9068, 5.9068, 10.0109 Å; angles 72.84, 72.84, 90.00 degrees
Each line ends with the local moment (μB).
Atoms (fractional coordinates):
1 Pb 0.7913 0.1250 0.2500  -0.14
2 Pb 0.9587 0.6250 0.2500  -0.14
3 Pb 0.3750 0.2087 0.7500  -0.16
4 Pb 0.8750 0.0413 0.7500  -0.16
5 Cr 0.0000 0.0000 0.0000  3.30
6 Cr 0.7500 0.2500 0.5000  3.30
7 K 0.5000 0.5000 0.0000  -0.01
8 K 0.2500 0.7500 0.5000  -0.01

Computed properties:
The value obtained for the excess energy over the best structure of this formula in the dataset is 316.1 meV per atom. As for the density of states at the Fermi level: 0.188 states/eV/atom. Its space group is No. 122. The crystal system is tetragonal.

---

[5]
AcEr2Ga4 | GGA-PBE | optimized geometry

Cell lengths 4.2205, 4.4441, 9.7036 Å; angles 103.24, 102.56, 90.00 degrees
Atoms (fractional coordinates):
1 Ac 0.5000 0.0000 0.0000
2 Ga 0.6520 0.6520 0.3040
3 Ga 0.3480 0.3480 0.6960
4 Ga 0.0714 0.5714 0.1427
5 Ga 0.9286 0.4286 0.8573
6 Er 0.8145 0.8145 0.6289
7 Er 0.1855 0.1855 0.3711

Computed properties:
The calculation puts the raw total energy at -29.6 eV per cell. As for the density of states at the Fermi level: 0.553 states/eV/atom. Its space group is No. 71. The crystal system is orthorhombic.

---

[6]
Ac7Hg2Pt2 | GGA-PBE | optimized geometry

Cell lengths 7.4933, 7.7346, 7.4933 Å; angles 90.00, 108.84, 90.00 degrees
Atoms (fractional coordinates):
1 Ac 0.9998 0.2567 0.5003
2 Ac 0.5003 0.7433 0.9998
3 Ac 0.0002 0.7433 0.4997
4 Ac 0.4997 0.2567 0.0002
5 Ac 0.0000 0.0000 0.0000
6 Ac 0.5002 0.7507 0.4998
7 Ac 0.4998 0.2493 0.5002
8 Hg 0.8285 0.5000 0.8285
9 Hg 0.1715 0.5000 0.1715
10 Pt 0.7077 0.0000 0.2923
11 Pt 0.2923 0.0000 0.7077

Computed properties:
The value obtained for the excess energy over the best structure of this formula in the dataset is 90.5 meV per atom. As for the density of states at the Fermi level: 1.025 states/eV/atom. Its space group is No. 65. The crystal system is orthorhombic.

---

[7]
ThSeF | GGA-PBE | optimized geometry

Cell lengths 3.9778, 6.7469, 6.7228 Å; angles 101.89, 90.00, 90.00 degrees
Atoms (fractional coordinates):
1 Th 0.7500 0.7193 0.5027
2 Th 0.2500 0.2807 0.4973
3 Se 0.7500 0.1280 0.7437
4 Se 0.2500 0.8720 0.2563
5 F 0.7500 0.3449 0.3044
6 F 0.2500 0.6551 0.6956

Computed properties:
The value obtained for the uncorrected formation energy is -2.24 eV per atom. As for the density of states at the Fermi level: 0.667 states/eV/atom. Its space group is No. 11. The crystal system is monoclinic.

---

[8]
Th2NiAs4Ru3 | GGA-PBE | optimized geometry

Cell lengths 4.3037, 4.3037, 9.8100 Å; angles 90.00, 90.00, 90.00 degrees
Each line ends with the local moment (μB).
Atoms (fractional coordinates):
1 Th 0.5000 0.0000 0.2501  0.00
2 Th 0.0000 0.5000 0.7499  0.00
3 Ni 0.5000 0.5000 0.5000  0.08
4 As 0.5000 0.5000 0.0000  0.00
5 As 0.0000 0.0000 0.0000  0.00
6 As 0.5000 0.0000 0.6311  0.00
7 As 0.0000 0.5000 0.3689  0.00
8 Ru 0.0000 0.0000 0.5000  0.07
9 Ru 0.5000 0.0000 0.8791  0.00
10 Ru 0.0000 0.5000 0.1209  0.00

Computed properties:
The calculation puts the raw total energy at -74.2 eV per cell. As for the density of states at the Fermi level: 0.805 states/eV/atom. Its space group is No. 115. The crystal system is tetragonal.

---

[9]
MgCu2Bi | GGA-PBE | optimized geometry

Cell lengths 4.2796, 4.2796, 9.4754 Å; angles 76.95, 76.95, 90.00 degrees
Atoms (fractional coordinates):
1 Mg 0.5000 0.5000 0.0000
2 Mg 0.2500 0.7500 0.5000
3 Bi 0.0000 0.0000 0.0000
4 Bi 0.7500 0.2500 0.5000
5 Cu 0.5834 0.1250 0.2500
6 Cu 0.1666 0.6250 0.2500
7 Cu 0.3750 0.4166 0.7500
8 Cu 0.8750 0.8334 0.7500

Computed properties:
The calculation puts the raw total energy at -25.2 eV per cell. As for the density of states at the Fermi level: 0.439 states/eV/atom. Its space group is No. 122. The crystal system is tetragonal.

---

[10]
Te3Os2 | GGA-PBE | optimized geometry

Cell lengths 8.1764, 7.0041, 6.5385 Å; angles 74.19, 55.51, 50.30 degrees
Atoms (fractional coordinates):
1 Te 0.2399 0.1580 0.8853
2 Te 0.7167 0.8853 0.1580
3 Te 0.3647 0.5333 0.0101
4 Te 0.0920 0.0101 0.5333
5 Te 0.8979 0.6021 0.6021
6 Te 0.6479 0.3521 0.3521
7 Os 0.6577 0.0755 0.7791
8 Os 0.4878 0.7791 0.0755
9 Os 0.4709 0.7622 0.5923
10 Os 0.1745 0.5923 0.7622

Computed properties:
The value obtained for the excess energy over the best structure of this formula in the dataset is 0.0 meV per atom. The value obtained for the uncorrected formation energy is 0.40 eV per atom. As for the density of states at the Fermi level: 0.692 states/eV/atom. Its space group is No. 43. The crystal system is orthorhombic.

---

[11]
Er2ScN | GGA-PBE | optimized geometry

Cell lengths 3.3778, 3.3778, 9.1464 Å; angles 79.36, 79.36, 60.00 degrees
Atoms (fractional coordinates):
1 Sc 0.0000 0.0000 0.0000
2 N 0.5000 0.5000 0.5000
3 Er 0.1172 0.1172 0.6483
4 Er 0.8828 0.8828 0.3517

Computed properties:
The value obtained for the uncorrected formation energy is -0.66 eV per atom. As for the density of states at the Fermi level: 1.286 states/eV/atom. Its space group is No. 166. The crystal system is trigonal.

---

[12]
HfMg14Cu | GGA-PBE | optimized geometry

Cell lengths 6.3523, 6.3523, 10.0643 Å; angles 90.00, 90.00, 121.31 degrees
Atoms (fractional coordinates):
1 Hf 0.3229 0.6771 0.5000
2 Mg 0.8320 0.1680 0.0000
3 Mg 0.3340 0.6660 0.0000
4 Mg 0.3109 0.1679 0.5000
5 Mg 0.3377 0.1712 0.0000
6 Mg 0.8321 0.6891 0.5000
7 Mg 0.8288 0.6623 0.0000
8 Mg 0.1664 0.3345 0.2593
9 Mg 0.1664 0.3345 0.7407
10 Mg 0.6655 0.8336 0.2593
11 Mg 0.6655 0.8336 0.7407
12 Mg 0.6782 0.3218 0.2758
13 Mg 0.6782 0.3218 0.7242
14 Mg 0.1694 0.8306 0.2489
15 Mg 0.1694 0.8306 0.7511
16 Cu 0.8425 0.1575 0.5000

Computed properties:
The calculation puts the raw total energy at -35.6 eV per cell. As for the density of states at the Fermi level: 0.478 states/eV/atom. Its space group is No. 38. The crystal system is orthorhombic.